Record 1
PIrAu | GGA-PBE | relaxed

Properties
energy above the lowest structure with this stoichiometry = 175 meV per atom
M_tot = 0.0 μB per cell
N(E_F) = 1.479 states/eV/cell

```
data_PIrAu
_chemical_formula_sum 'P1 Ir1 Au1'
_cell_length_a 3.919
_cell_length_b 3.919
_cell_length_c 3.739
_cell_angle_alpha 90.00
_cell_angle_beta 90.00
_cell_angle_gamma 120.00
_symmetry_space_group_name_H-M 'P 1'
_symmetry_Int_Tables_number 1
loop_
_symmetry_equiv_pos_as_xyz
'x,y,z'
loop_
_atom_site_label
_atom_site_type_symbol
_atom_site_fract_x
_atom_site_fract_y
_atom_site_fract_z
P1 P 0.333 0.667 0.540
Au1 Au 0.000 0.000 0.991
Ir1 Ir 0.667 0.333 0.469
```

---

Record 2
HgRhPb2 | GGA-PBE | relaxed

Properties
raw total energy = -3.507 eV/atom
M_tot = 0.0 μB per cell
N(E_F) = 3.051 states/eV/cell

```
data_HgRhPb2
_chemical_formula_sum 'Hg1 Rh1 Pb2'
_cell_length_a 5.739
_cell_length_b 5.739
_cell_length_c 5.739
_cell_angle_alpha 134.87
_cell_angle_beta 134.87
_cell_angle_gamma 65.74
_symmetry_space_group_name_H-M 'P 1'
_symmetry_Int_Tables_number 1
loop_
_symmetry_equiv_pos_as_xyz
'x,y,z'
loop_
_atom_site_label
_atom_site_type_symbol
_atom_site_fract_x
_atom_site_fract_y
_atom_site_fract_z
Pb1 Pb 0.250 0.750 0.500
Rh1 Rh 0.500 0.500 0.000
Hg1 Hg 0.750 0.250 0.500
Pb2 Pb 0.000 0.000 0.000
```

---

Record 3
BaMn3Nb | GGA-PBE | relaxed

Properties
energy above the lowest structure with this stoichiometry = 0 meV per atom
M_tot = 9.4 μB per cell
N(E_F) = 3.839 states/eV/cell

```
data_BaMn3Nb
_chemical_formula_sum 'Ba1 Mn3 Nb1'
_cell_length_a 5.029
_cell_length_b 5.029
_cell_length_c 5.029
_cell_angle_alpha 90.00
_cell_angle_beta 90.00
_cell_angle_gamma 90.00
_symmetry_space_group_name_H-M 'P 1'
_symmetry_Int_Tables_number 1
loop_
_symmetry_equiv_pos_as_xyz
'x,y,z'
loop_
_atom_site_label
_atom_site_type_symbol
_atom_site_fract_x
_atom_site_fract_y
_atom_site_fract_z
Mn1 Mn 0.000 0.500 0.000
Nb1 Nb 0.000 0.000 0.000
Mn2 Mn 0.000 0.000 0.500
Ba1 Ba 0.500 0.500 0.500
Mn3 Mn 0.500 0.000 0.000
```

---

What is the M_tot in the third record? 9.4 μB per cell

---

What is the formula in the first record? PIrAu

---

N(E_F) of number 3 (BaMn3Nb)? 3.839 states/eV/cell